TiAsOsS2 | PBE | relaxed

- uncorrected formation energy (meV/atom) = 806.9
- E (eV/atom) = -5.5989
- SG = P4/mmm
- DOS at the Fermi energy (states/eV per atom) = 1.13

The structure in CIF format:
```
data_TiAsOsS2
_space_group_name_H-M_alt 'P 1'
_space_group_IT_number 1
_space_group_name_Hall 'P 1'
_cell_length_a 4.5030
_cell_length_b 4.5030
_cell_length_c 5.2094
_cell_angle_alpha 90.00
_cell_angle_beta 90.00
_cell_angle_gamma 90.00
loop_
_atom_site_label
_atom_site_type_symbol
_atom_site_fract_x
_atom_site_fract_y
_atom_site_fract_z
_atom_site_occupancy
Ti1 Ti 0.0000 0.0000 0.0000 1
As1 As 0.0000 0.0000 0.5000 1
Os1 Os 0.5000 0.5000 0.5000 1
S1 S 0.0000 0.5000 0.0000 1
S2 S 0.5000 0.0000 0.0000 1
```